Entry 1:
VASP calculation (PBE) on an optimized crystal structure of Nb3V2Tc.

abc: 7.0929 7.0929 6.3782
angles: 90.00 90.00 143.16
Last column: nearest neighbours and their distance in Å.
Sites, in units of the cell vectors:
Nb (0.0000, 0.0000, 0.2503)  2 Tc 2.74, 6 V 2.75-2.76
Nb (0.0000, 0.0000, 0.7497)  2 Tc 2.74, 6 V 2.75-2.76
Nb (0.3331, 0.6669, 0.2495)  5 V 2.74-2.76, 3 Tc 2.75-2.76
Nb (0.3331, 0.6669, 0.7505)  5 V 2.74-2.76, 3 Tc 2.75-2.76
Nb (0.6669, 0.3331, 0.2495)  5 V 2.74-2.76, 3 Tc 2.75-2.76
Nb (0.6669, 0.3331, 0.7505)  5 V 2.74-2.76, 3 Tc 2.75-2.76
V (0.1670, 0.8330, 0.0000)  8 Nb 2.74-2.76
V (0.5000, 0.5000, 0.0000)  8 Nb 2.75
V (0.5000, 0.5000, 0.5000)  8 Nb 2.75-2.76
V (0.8330, 0.1670, 0.0000)  8 Nb 2.74-2.76
Tc (0.1657, 0.8343, 0.5000)  8 Nb 2.74-2.76
Tc (0.8343, 0.1657, 0.5000)  8 Nb 2.74-2.76

## Properties
M_tot, μB/cell: 0.0
E_form, kJ/mol of atoms: -12

Entry 2:
VASP calculation (PBE) on an optimized crystal structure of CaZnSb.

abc: 8.5884 8.5884 8.5884
angles: 152.86 145.41 44.51
Last column: nearest neighbours and their distance in Å.
Sites, in units of the cell vectors:
Ca (0.1504, 0.1504, 0.0000)  5 Sb 3.20-3.25, 4 Zn 3.35
Ca (0.8496, 0.8496, 0.0000)  5 Sb 3.20-3.25, 4 Zn 3.35
Zn (0.2370, 0.5000, 0.7370)  2 Zn 2.42-2.69
Zn (0.7630, 0.5000, 0.2630)  2 Zn 2.42-2.69
Sb (0.3517, 0.3517, 0.0000)  2 Zn 2.71
Sb (0.6483, 0.6483, 0.0000)  2 Zn 2.71

## Properties
M_tot, μB/cell: 0.0
Energy relative to the elements, uncorrected, eV per atom: -0.520

Entry 3:
VASP calculation (PBE) on an optimized crystal structure of Cs2ErIO6.

abc: 6.8036 6.8036 5.8003
angles: 90.00 90.00 120.00
Last column: nearest neighbours and their distance in Å.
Sites, in units of the cell vectors:
Cs (0.3333, 0.6667, 0.3592)  9 O 3.13-3.45
Cs (0.6667, 0.3333, 0.6408)  9 O 3.13-3.45
Er (0.0000, 0.0000, 0.0000)  6 O 2.30
I (0.0000, 0.0000, 0.5000)  6 O 1.93
O (0.1291, 0.2582, 0.7037)  1 I 1.93
O (0.1291, 0.8709, 0.7037)  1 I 1.93
O (0.2582, 0.1291, 0.2963)  1 I 1.93
O (0.7418, 0.8709, 0.7037)  1 I 1.93
O (0.8709, 0.1291, 0.2963)  1 I 1.93
O (0.8709, 0.7418, 0.2963)  1 I 1.93

## Properties
M_tot, μB/cell: 0.0
Energy relative to the elements, uncorrected, eV per atom: -1.561

Repeat the second record exactly.
VASP calculation (PBE) on an optimized crystal structure of CaZnSb.

abc: 8.5884 8.5884 8.5884
angles: 152.86 145.41 44.51
Last column: nearest neighbours and their distance in Å.
Sites, in units of the cell vectors:
Ca (0.1504, 0.1504, 0.0000)  5 Sb 3.20-3.25, 4 Zn 3.35
Ca (0.8496, 0.8496, 0.0000)  5 Sb 3.20-3.25, 4 Zn 3.35
Zn (0.2370, 0.5000, 0.7370)  2 Zn 2.42-2.69
Zn (0.7630, 0.5000, 0.2630)  2 Zn 2.42-2.69
Sb (0.3517, 0.3517, 0.0000)  2 Zn 2.71
Sb (0.6483, 0.6483, 0.0000)  2 Zn 2.71

## Properties
M_tot, μB/cell: 0.0
Energy relative to the elements, uncorrected, eV per atom: -0.520